[1]
## TiNbRh4 (PBE)

Data for crystalline TiNbRh4 at its relaxed geometry.

abc: 5.146 5.146 5.538
angles: 122.23 122.23 50.32
Positions (direct):
Ti: 0.000 0.000 0.000
Nb: 0.000 0.000 0.500
Rh: 0.326 0.326 0.455
Rh: 0.339 0.339 0.972
Rh: 0.661 0.661 0.028
Rh: 0.674 0.674 0.545

Calculated values
energy above the most stable polymorph in this dataset: 0.051 eV per atom
E_form: -0.375 eV per atom
electronic total energy: -49.6 eV per formula unit
calculated volume: 15.2 Å³/atom

[2]
## Ti2Nb2Rh (PBE)

Data for crystalline Ti2Nb2Rh at its relaxed geometry.

abc: 6.472 6.472 4.163
angles: 90.00 90.00 90.00
Positions (direct):
Ti: 0.148 0.352 0.000
Ti: 0.352 0.852 0.000
Ti: 0.648 0.148 0.000
Ti: 0.852 0.648 0.000
Nb: 0.162 0.662 0.500
Nb: 0.338 0.162 0.500
Nb: 0.662 0.838 0.500
Nb: 0.838 0.338 0.500
Rh: 0.000 0.000 0.000
Rh: 0.500 0.500 0.000

Calculated values
energy above the most stable polymorph in this dataset: 0.343 eV per atom
E_form: -0.019 eV per atom
electronic total energy: -43.4 eV per formula unit
calculated volume: 17.4 Å³/atom

[3]
## Ti4NbRh (PBE)

Data for crystalline Ti4NbRh at its relaxed geometry.

abc: 4.325 4.325 7.523
angles: 106.63 106.63 60.01
Positions (direct):
Ti: 0.123 0.123 0.370
Ti: 0.374 0.374 0.122
Ti: 0.626 0.626 0.878
Ti: 0.877 0.877 0.630
Nb: 0.500 0.500 0.500
Rh: 0.000 0.000 0.000

Calculated values
energy above the most stable polymorph in this dataset: 0.408 eV per atom
E_form: 0.231 eV per atom
electronic total energy: -47.6 eV per formula unit
calculated volume: 19.2 Å³/atom

[4]
## Ti3NbRh2 (PBE)

Data for crystalline Ti3NbRh2 at its relaxed geometry.

abc: 3.154 3.154 9.513
angles: 90.00 90.00 90.00
Positions (direct):
Ti: 0.000 0.000 0.000
Ti: 0.000 0.000 0.325
Ti: 0.000 0.000 0.675
Nb: 0.500 0.500 0.500
Rh: 0.500 0.500 0.156
Rh: 0.500 0.500 0.844

Calculated values
E_form: -0.549 eV per atom
electronic total energy: -51.7 eV per formula unit
calculated volume: 15.8 Å³/atom